DFT (PBE) results for crystalline In3NiSe4 at its relaxed geometry.

Calculated values
E in eV per cell: -30.65
Formation energy from raw total energies in meV per atom: -340
N(E_F) in states/eV/cell: 3.639

Cell lengths 6.1422, 6.1422, 7.4806 Å; angles 114.24, 114.24, 90.00 degrees
With the nearest neighbours (Å) after each atom.
Positions (direct):
In 0.5000 0.5000 0.0000  4 Se 2.80
In 0.7500 0.2500 0.5000  4 Se 2.75
In 0.2500 0.7500 0.5000  4 Se 2.75
Ni 0.0000 0.0000 0.0000  4 Se 2.35
Se 0.3322 0.3322 0.2265  1 Ni 2.35
Se 0.8943 0.8943 0.2265  1 Ni 2.35
Se 0.1057 0.6678 0.7735  1 Ni 2.35
Se 0.6678 0.1057 0.7735  1 Ni 2.35